Material: DyZn2CdAu5
Method: DFT, GGA-PBE
State: relaxed

Results
- ρ: 12.7 g cm⁻³
- Magnetization: 0.00 μB/f.u.
- Raw total energy: -27.07 eV/cell

abc: 4.8029 4.8029 7.8697
angles: 90.00 90.00 90.00
Fractional positions:
Zn 0.5000 0.5000 0.8475
Au 0.5000 0.0000 0.2658
Au 0.5000 0.5000 0.5000
Cd 0.0000 0.0000 0.0000
Au 0.5000 0.0000 0.7342
Zn 0.5000 0.5000 0.1525
Au 0.0000 0.5000 0.7342
Dy 0.0000 0.0000 0.5000
Au 0.0000 0.5000 0.2658